a) The following is a PBE-GGA calculation of an optimized crystal structure of Zn2CrBr, from the Alexandria database.

Geometry as CIF:
```
data_Zn2CrBr
_cell_length_a 5.258
_cell_length_b 8.633
_cell_length_c 3.405
_cell_angle_alpha 90.00
_cell_angle_beta 90.00
_cell_angle_gamma 90.00
_symmetry_space_group_name_H-M 'C m m m'
_symmetry_Int_Tables_number 65
_symmetry_space_group_name_Hall '-C 2 2'
loop_
_atom_site_label
_atom_site_fract_x
_atom_site_fract_y
_atom_site_fract_z
Zn1 0.250 0.250 0.000
Cr1 0.000 0.000 0.500
Br1 0.000 0.500 0.500
```

Output
- N(E_F): 1.831 states/eV/f.u.

---

b) The following is a PBE-GGA calculation of an optimized crystal structure of Zn2CrBr, from the Alexandria database.

Geometry as CIF:
```
data_Zn2CrBr
_cell_length_a 4.105
_cell_length_b 4.105
_cell_length_c 8.898
_cell_angle_alpha 90.00
_cell_angle_beta 90.00
_cell_angle_gamma 90.00
_symmetry_space_group_name_H-M 'I -4 m 2'
_symmetry_Int_Tables_number 119
_symmetry_space_group_name_Hall 'I -4 -2'
loop_
_atom_site_label
_atom_site_fract_x
_atom_site_fract_y
_atom_site_fract_z
Zn1 0.000 0.000 0.000
Zn2 0.000 0.500 0.250
Cr1 0.000 0.000 0.500
Br1 0.000 0.500 0.750
```

Output
- N(E_F): 2.360 states/eV/f.u.

---

c) The following is a PBE-GGA calculation of an optimized crystal structure of Zn2CrBr, from the Alexandria database.

Geometry as CIF:
```
data_Zn2CrBr
_cell_length_a 4.019
_cell_length_b 3.277
_cell_length_c 12.553
_cell_angle_alpha 90.00
_cell_angle_beta 90.00
_cell_angle_gamma 90.00
_symmetry_space_group_name_H-M 'A m m 2'
_symmetry_Int_Tables_number 38
loop_
_symmetry_equiv_pos_as_xyz
'x,y,z'
'-x,-y,z'
'-x,y,z'
'x,-y,z'
'x,y+1/2,z+1/2'
'-x,-y+1/2,z+1/2'
'-x,y+1/2,z+1/2'
'x,-y+1/2,z+1/2'
loop_
_atom_site_label
_atom_site_fract_x
_atom_site_fract_y
_atom_site_fract_z
Zn1 0.000 0.000 0.000
Zn2 0.500 0.000 0.125
Cr1 0.500 0.000 0.449
Br1 0.000 0.000 0.279
```

Output
- N(E_F): 1.842 states/eV/f.u.

---

d) The following is a PBE-GGA calculation of an optimized crystal structure of Zn2CrBr, from the Alexandria database.

Geometry as CIF:
```
data_Zn2CrBr
_cell_length_a 3.315
_cell_length_b 4.223
_cell_length_c 5.989
_cell_angle_alpha 90.00
_cell_angle_beta 90.00
_cell_angle_gamma 90.00
_symmetry_space_group_name_H-M 'P m m m'
_symmetry_Int_Tables_number 47
loop_
_symmetry_equiv_pos_as_xyz
'x,y,z'
'-x,-y,-z'
'-x,-y,z'
'x,y,-z'
'x,-y,-z'
'-x,y,z'
'-x,y,-z'
'x,-y,z'
loop_
_atom_site_label
_atom_site_fract_x
_atom_site_fract_y
_atom_site_fract_z
Zn1 0.000 0.000 0.000
Zn2 0.500 0.500 0.000
Cr1 0.000 0.500 0.500
Br1 0.500 0.000 0.500
```

Output
- N(E_F): 1.491 states/eV/f.u.

---

c) is the most stable structure; the next one sits 0.051 eV/atom above it.

---

a) The following is a PBE-GGA calculation of an optimized crystal structure of Zn2CrBr, from the Alexandria database.

Geometry as CIF:
```
data_Zn2CrBr
_cell_length_a 7.724
_cell_length_b 4.135
_cell_length_c 5.960
_cell_angle_alpha 90.00
_cell_angle_beta 101.60
_cell_angle_gamma 90.00
_symmetry_space_group_name_H-M 'C 1 m 1'
_symmetry_Int_Tables_number 8
loop_
_symmetry_equiv_pos_as_xyz
'x,y,z'
'x,-y,z'
'x+1/2,y+1/2,z'
'x+1/2,-y+1/2,z'
loop_
_atom_site_label
_atom_site_fract_x
_atom_site_fract_y
_atom_site_fract_z
Zn1 0.000 0.000 0.000
Zn2 0.179 0.500 0.032
Cr1 0.303 0.000 0.810
Br1 0.264 0.500 0.513
```

Output
- N(E_F): 1.600 states/eV/f.u.

---

b) The following is a PBE-GGA calculation of an optimized crystal structure of Zn2CrBr, from the Alexandria database.

Geometry as CIF:
```
data_Zn2CrBr
_cell_length_a 3.249
_cell_length_b 3.249
_cell_length_c 7.818
_cell_angle_alpha 90.00
_cell_angle_beta 90.00
_cell_angle_gamma 90.00
_symmetry_space_group_name_H-M 'P 4 m m'
_symmetry_Int_Tables_number 99
loop_
_symmetry_equiv_pos_as_xyz
'x,y,z'
'-y,x,z'
'-x,-y,z'
'y,-x,z'
'-x,y,z'
'y,x,z'
'x,-y,z'
'-y,-x,z'
loop_
_atom_site_label
_atom_site_fract_x
_atom_site_fract_y
_atom_site_fract_z
Zn1 0.000 0.000 0.000
Zn2 0.500 0.500 0.172
Cr1 0.500 0.500 0.783
Br1 0.000 0.000 0.578
```

Output
- N(E_F): 2.343 states/eV/f.u.

---

c) The following is a PBE-GGA calculation of an optimized crystal structure of Zn2CrBr, from the Alexandria database.

Geometry as CIF:
```
data_Zn2CrBr
_cell_length_a 7.895
_cell_length_b 7.895
_cell_length_c 5.366
_cell_angle_alpha 90.00
_cell_angle_beta 90.00
_cell_angle_gamma 90.00
_symmetry_space_group_name_H-M 'I -4 2 d'
_symmetry_Int_Tables_number 122
_symmetry_space_group_name_Hall 'I -4 2bw'
loop_
_atom_site_label
_atom_site_fract_x
_atom_site_fract_y
_atom_site_fract_z
Zn1 0.233 0.250 0.125
Cr1 0.000 0.000 0.000
Br1 0.000 0.000 0.500
```

Output
- N(E_F): 1.642 states/eV/f.u.

---

a) is the most stable structure; the next one sits 0.124 eV/atom above it.

---

a) The following is a PBE-GGA calculation of an optimized crystal structure of Zn2CrBr, from the Alexandria database.

Geometry as CIF:
```
data_Zn2CrBr
_cell_length_a 12.351
_cell_length_b 3.243
_cell_length_c 4.313
_cell_angle_alpha 90.00
_cell_angle_beta 110.28
_cell_angle_gamma 90.00
_symmetry_space_group_name_H-M 'C 1 2/m 1'
_symmetry_Int_Tables_number 12
loop_
_symmetry_equiv_pos_as_xyz
'x,y,z'
'-x,-y,-z'
'-x,y,-z'
'x,-y,z'
'x+1/2,y+1/2,z'
'-x+1/2,-y+1/2,-z'
'-x+1/2,y+1/2,-z'
'x+1/2,-y+1/2,z'
loop_
_atom_site_label
_atom_site_fract_x
_atom_site_fract_y
_atom_site_fract_z
Zn1 0.230 0.000 0.230
Cr1 0.000 0.500 0.000
Br1 0.000 0.000 0.500
```

Output
- N(E_F): 0.858 states/eV/f.u.

---

b) The following is a PBE-GGA calculation of an optimized crystal structure of Zn2CrBr, from the Alexandria database.

Geometry as CIF:
```
data_Zn2CrBr
_cell_length_a 3.4282
_cell_length_b 3.4282
_cell_length_c 23.7397
_cell_angle_alpha 90.00
_cell_angle_beta 90.00
_cell_angle_gamma 120.00
_symmetry_space_group_name_H-M 'R -3 m'
_symmetry_Int_Tables_number 166
_symmetry_space_group_name_Hall '-R 3 2"'
loop_
_atom_site_label
_atom_site_fract_x
_atom_site_fract_y
_atom_site_fract_z
Zn1 0.0000 0.0000 0.2463
Cr1 0.0000 0.0000 0.5000
Br1 0.0000 0.0000 0.0000
```

Output
- N(E_F): 1.902 states/eV/f.u.

---

b) is the most stable structure; the next one sits 0.023 eV/atom above it.

---

a) The following is a PBE-GGA calculation of an optimized crystal structure of Zn2CrBr, from the Alexandria database.

Geometry as CIF:
```
data_Zn2CrBr
_cell_length_a 6.916
_cell_length_b 6.916
_cell_length_c 6.916
_cell_angle_alpha 90.00
_cell_angle_beta 90.00
_cell_angle_gamma 90.00
_symmetry_space_group_name_H-M 'F -4 3 m'
_symmetry_Int_Tables_number 216
_symmetry_space_group_name_Hall 'F -4 2 3'
loop_
_atom_site_label
_atom_site_fract_x
_atom_site_fract_y
_atom_site_fract_z
Zn1 0.000 0.000 0.000
Zn2 0.250 0.250 0.250
Cr1 0.000 0.000 0.500
Br1 0.250 0.250 0.750
```

Output
- N(E_F): 0.785 states/eV/f.u.

---

b) The following is a PBE-GGA calculation of an optimized crystal structure of Zn2CrBr, from the Alexandria database.

Geometry as CIF:
```
data_Zn2CrBr
_cell_length_a 7.001
_cell_length_b 7.001
_cell_length_c 7.001
_cell_angle_alpha 90.00
_cell_angle_beta 90.00
_cell_angle_gamma 90.00
_symmetry_space_group_name_H-M 'F m -3 m'
_symmetry_Int_Tables_number 225
_symmetry_space_group_name_Hall '-F 4 2 3'
loop_
_atom_site_label
_atom_site_fract_x
_atom_site_fract_y
_atom_site_fract_z
Zn1 0.250 0.250 0.250
Cr1 0.000 0.000 0.000
Br1 0.000 0.000 0.500
```

Output
- N(E_F): 2.823 states/eV/f.u.

---

a) is the most stable structure; the next one sits 0.179 eV/atom above it.